The following is a GGA-PBE calculation of a relaxed structure of Na2SeS5, from Alexandria via LeMat-Bulk.

Cell: 6.952 8.790 9.566 Å, 64.79 118.53 148.76°
Fractional coordinates of all 8 atoms:
Na (0.114, 0.408, 0.066)
Na (0.677, 0.398, 0.665)
Se (0.183, 0.001, 0.934)
S (0.694, 0.691, 0.361)
S (0.693, 0.838, 0.728)
S (0.123, 0.120, 0.361)
S (0.191, 0.437, 0.782)
S (0.325, 0.884, 0.881)

space group = P1
E_tot = -3.62 eV per atom
formation energy (no corrections) = -2.188 eV per formula unit

The following is a GGA-PBE calculation of a relaxed structure of Pa5Ga2C2, from Alexandria via LeMat-Bulk.

Cell: 5.018 7.990 4.944 Å, 99.17 90.00 108.30°
Fractional coordinates of all 9 atoms:
Pa (0.329, 0.658, 0.046)
Pa (0.671, 0.342, 0.954)
Pa (0.163, 0.327, 0.475)
Pa (0.837, 0.673, 0.525)
Pa (0.000, 0.000, 0.000)
Ga (0.448, 0.896, 0.655)
Ga (0.552, 0.104, 0.345)
C (0.162, 0.324, 0.967)
C (0.838, 0.676, 0.033)

space group = C2/m
calculated formation energy = -166 meV/atom
E_tot = -8.16 eV per atom